CrTeO2 | PBE+U | optimized geometry

space-group type = No. 227
Fermi-level density of states = 3.82 states/eV per cell
spin magnetization = 0.0 μB per formula unit
crystal system = cubic
raw total energy = -5.584 eV per atom

Cell: 5.7813 5.7813 5.7808 Å, 60.00 60.00 90.00°
Fractional positions:
Cr 0.5000 0.5000 0.0000
Cr 0.2500 0.7500 0.5000
Te 0.0000 0.0000 0.0000
Te 0.7500 0.2500 0.5000
O 0.3754 0.1250 0.2500
O 0.3746 0.6250 0.2500
O 0.3750 0.6246 0.7500
O 0.8750 0.6254 0.7500